1.
# Co2SiSb

A relaxed Co2SiSb crystal (PBE, the Alexandria database).

abc: 3.3147 3.3147 5.0842
angles: 90.00 90.00 90.00
Closest atoms and distances in Å follow each position.
Positions (direct):
1 Co 0.0000 0.0000 0.0000  4 Si 2.43, 2 Sb 2.49-2.60
2 Co 0.5000 0.5000 0.3274  1 Si 2.31, 4 Sb 2.52
3 Si 0.5000 0.5000 0.8723  5 Co 2.31-2.43
4 Sb 0.0000 0.0000 0.5109  6 Co 2.49-2.60

Calculated values
Space group ... P4mm, No. 99

---

2.
# Co2SiSb

A relaxed Co2SiSb crystal (PBE, the Alexandria database).

abc: 6.2871 6.2871 6.2871
angles: 153.67 148.33 41.64
Closest atoms and distances in Å follow each position.
Positions (direct):
1 Co 0.0000 0.0000 0.0000  4 Si 2.34
2 Co 0.8074 0.3074 0.5000  2 Si 2.32
3 Si 0.4397 0.4397 0.0000  6 Co 2.32-2.34
4 Sb 0.1883 0.6883 0.5000  6 Co 2.64, 2 Sb 2.86

Calculated values
Space group ... Imm2, No. 44

---

3.
# CoSiSb2

A relaxed CoSiSb2 crystal (PBE, the Alexandria database).

abc: 6.3844 6.3844 6.3844
angles: 151.60 140.10 49.70
Closest atoms and distances in Å follow each position.
Positions (direct):
1 Co 0.0000 0.0000 0.0000  2 Si 2.38
2 Si 0.8449 0.3449 0.5000  2 Co 2.38
3 Sb 0.2065 0.7065 0.5000  2 Co 2.86, 4 Si 3.13, 4 Sb 3.13-3.15
4 Sb 0.5101 0.5101 0.0000  4 Co 2.69, 2 Si 2.90

Calculated values
Space group ... Imm2, No. 44

---

Number 1: formation energy without anion corrections -0.048 eV/atom, V 55.86 Å³/f.u.. Number 2: formation energy without anion corrections -0.106 eV/atom, V 57.73 Å³/f.u.. Number 3: formation energy without anion corrections 0.266 eV/atom, V 79.06 Å³/f.u..